No. 1
The following is a DFT calculation (PBE) of a geometry-optimized ReAgOs2 structure.

Cell and atoms, written as extended XYZ:
```
4
Lattice="-1.407 -4.187 -0.170 -2.937 -1.467 2.960 -4.145 -0.889 -1.252" Properties=species:S:1:pos:R:3 pbc="T T T"
Os 0.000 0.000 0.000
Re -6.366 -4.907 1.154
Ag -4.244 -3.271 0.769
Os -2.122 -1.636 0.385
```

DFT formation energy in kJ per mole of atoms: 89.4


No. 2
The following is a DFT calculation (PBE) of a geometry-optimized LaPuIn structure.

Cell and atoms, written as extended XYZ:
```
3
Lattice="0.983 -4.561 2.545 -1.421 -0.563 5.090 -4.010 -3.237 1.297" Properties=species:S:1:pos:R:3 pbc="T T T"
In 0.000 0.000 0.000
Pu -3.336 -6.271 6.699
La -1.112 -2.090 2.233
```

Polymorph energy (0 for the lowest one) in meV per atom: 0


No. 3
The following is a DFT calculation (PBE) of a geometry-optimized Tb2InHg structure.

Cell and atoms, written as extended XYZ:
```
4
Lattice="-3.134 -0.804 -1.864 -1.231 -1.973 2.921 -3.272 6.216 2.820" Properties=species:S:1:pos:R:3 pbc="T T T"
Hg -2.182 -1.389 0.529
In -3.818 1.719 1.939
Tb -0.802 1.523 0.691
Tb -2.471 4.693 2.129
```


No. 4
The following is a DFT calculation (PBE) of a geometry-optimized HfZrTlN structure.

Cell and atoms, written as extended XYZ:
```
8
Lattice="3.298 0.000 0.000 -1.649 2.856 0.000 0.000 0.000 14.907" Properties=species:S:1:pos:R:3 pbc="T T T"
Hf 0.000 1.904 4.981
Zr 1.649 0.952 12.401
Hf 0.000 1.904 9.926
Zr 1.649 0.952 2.506
Tl 1.649 0.952 7.453
Tl 0.000 1.904 0.000
N 0.000 0.000 11.090
N 0.000 0.000 3.817
```

Polymorph energy (0 for the lowest one) in meV per atom: 0


no.,raw total energy (eV/f.u.)
1,-33.993
2,-21.543
3,-14.233
4,-32.986